1.
First-principles (GGA-PBE) data for an optimized crystal structure of Cu2Hg2I, as listed in Alexandria.

crystal system = tetragonal
volume = 114 Å³ per cell
energy relative to the elements, uncorrected = 222 meV/atom
distance to the lowest polymorph of the same formula = 0 meV/atom

Cell: 3.7075 3.7075 8.6892 Å, 77.68 77.68 90.00°
Element x y z (fractional)
Hg1 0.6273 0.6273 0.7455
Cu1 0.2500 0.7500 0.5000
I1 0.0000 0.0000 0.0000
Cu2 0.7500 0.2500 0.5000
Hg2 0.3727 0.3727 0.2545

2.
First-principles (GGA-PBE) data for an optimized crystal structure of Cu2Hg2I, as listed in Alexandria.

crystal system = tetragonal
volume = 223 Å³ per cell
energy relative to the elements, uncorrected = 372 meV/atom
distance to the lowest polymorph of the same formula = 150 meV/atom

Cell: 8.6747 8.6747 2.9660 Å, 90.00 90.00 90.00°
Element x y z (fractional)
Hg1 0.6802 0.1802 0.0000
I1 0.0000 0.0000 0.0000
Cu1 0.6019 0.8981 0.5000
Hg2 0.1802 0.3198 0.0000
I2 0.5000 0.5000 0.0000
Cu2 0.8981 0.3981 0.5000
Hg3 0.8198 0.6802 0.0000
Cu3 0.1019 0.6019 0.5000
Hg4 0.3198 0.8198 0.0000
Cu4 0.3981 0.1019 0.5000

3.
First-principles (GGA-PBE) data for an optimized crystal structure of CuHgI3, as listed in Alexandria.

crystal system = monoclinic
volume = 436 Å³ per cell
energy relative to the elements, uncorrected = -203 meV/atom
distance to the lowest polymorph of the same formula = 0 meV/atom

Cell: 4.4098 7.8174 13.3628 Å, 98.97 90.00 106.38°
Element x y z (fractional)
Hg1 0.9153 0.8305 0.7208
I1 0.1451 0.2901 0.0921
I2 0.1173 0.2345 0.7560
Hg2 0.0847 0.1695 0.2792
I3 0.8549 0.7099 0.9079
I4 0.8827 0.7655 0.2440
Cu1 0.3058 0.6117 0.1829
Cu2 0.6942 0.3883 0.8171
I5 0.6293 0.2587 0.4148
I6 0.3707 0.7413 0.5852

4.
First-principles (GGA-PBE) data for an optimized crystal structure of CuHg2I4, as listed in Alexandria.

crystal system = tetragonal
volume = 295 Å³ per cell
energy relative to the elements, uncorrected = -152 meV/atom

Cell: 7.0373 7.0373 5.9532 Å, 90.00 90.00 90.00°
Element x y z (fractional)
Hg1 0.5000 0.0000 0.5000
Hg2 0.0000 0.5000 0.5000
I1 0.2293 0.7707 0.7826
I2 0.7707 0.2293 0.7826
I3 0.2293 0.2293 0.2174
I4 0.7707 0.7707 0.2174
Cu1 0.0000 0.0000 0.0000

5.
First-principles (GGA-PBE) data for an optimized crystal structure of Cu2HgI, as listed in Alexandria.

crystal system = tetragonal
volume = 196 Å³ per cell
energy relative to the elements, uncorrected = 364 meV/atom
distance to the lowest polymorph of the same formula = 0 meV/atom

Cell: 6.9102 6.9102 6.3790 Å, 57.20 57.20 90.00°
Element x y z (fractional)
Cu1 0.3750 0.3776 0.7500
Cu2 0.8750 0.8724 0.7500
I1 0.2500 0.7500 0.5000
Hg1 0.7500 0.2500 0.5000
Cu3 0.6224 0.1250 0.2500
Cu4 0.1276 0.6250 0.2500
I2 0.5000 0.5000 0.0000
Hg2 0.0000 0.0000 0.0000

6.
First-principles (GGA-PBE) data for an optimized crystal structure of Cu2HgI5, as listed in Alexandria.

crystal system = triclinic
volume = 394 Å³ per cell
energy relative to the elements, uncorrected = -164 meV/atom

Cell: 8.1962 7.3009 7.7624 Å, 58.05 91.36 90.11°
Element x y z (fractional)
I1 0.1106 0.5679 0.2346
I2 0.8213 0.1276 0.7091
Cu1 0.8219 0.4100 0.3093
I3 0.5687 0.6452 0.1813
I4 0.8283 0.0980 0.2317
Hg1 0.0954 0.0219 0.0119
I5 0.3598 0.2972 0.8804
Cu2 0.6169 0.0551 0.9958

7.
First-principles (GGA-PBE) data for an optimized crystal structure of InCuHg2I, as listed in Alexandria.

crystal system = tetragonal
volume = 148 Å³ per cell
energy relative to the elements, uncorrected = -55 meV/atom

Cell: 5.2281 5.2281 5.4029 Å, 90.00 90.00 90.00°
Element x y z (fractional)
Hg1 0.0000 0.5000 0.0000
I1 0.5000 0.5000 0.5000
Hg2 0.5000 0.0000 0.0000
In1 0.0000 0.0000 0.5000
Cu1 0.0000 0.0000 0.0000

8.
First-principles (GGA-PBE) data for an optimized crystal structure of KCu2HgI, as listed in Alexandria.

crystal system = tetragonal
volume = 180 Å³ per cell
energy relative to the elements, uncorrected = 142 meV/atom

Cell: 4.9833 7.2551 4.9833 Å, 90.00 90.00 90.00°
Element x y z (fractional)
K1 0.0000 0.5000 0.0000
Hg1 0.0000 0.0000 0.0000
Cu1 0.0000 0.0000 0.5000
I1 0.5000 0.5000 0.5000
Cu2 0.5000 0.0000 0.0000

9.
First-principles (GGA-PBE) data for an optimized crystal structure of K2CuHgI5, as listed in Alexandria.

crystal system = orthorhombic
volume = 719 Å³ per cell
energy relative to the elements, uncorrected = -757 meV/atom

Cell: 4.6166 10.5413 15.1319 Å, 90.00 90.00 102.65°
Element x y z (fractional)
Cu1 0.5714 0.1428 0.9102
I1 0.7040 0.4080 0.1696
I2 0.3487 0.6974 0.0197
I3 0.5021 0.0042 0.2733
Cu2 0.4286 0.8572 0.4102
I4 0.6513 0.3026 0.5197
K1 0.1225 0.2451 0.7104
Hg1 0.7915 0.5831 0.5333
Hg2 0.2085 0.4169 0.0333
I5 0.9326 0.8653 0.5031
K2 0.1261 0.2521 0.3315
K3 0.8775 0.7549 0.2104
I6 0.4979 0.9958 0.7733
I7 0.6988 0.3977 0.8728
I8 0.3012 0.6023 0.3728
I9 0.2960 0.5920 0.6696
I10 0.0674 0.1347 0.0031
K4 0.8739 0.7479 0.8315

10.
First-principles (GGA-PBE) data for an optimized crystal structure of KCu2HgI6, as listed in Alexandria.

crystal system = monoclinic
volume = 880 Å³ per cell
energy relative to the elements, uncorrected = -408 meV/atom

Cell: 8.2583 10.7390 10.7390 Å, 89.58 74.25 74.25°
Element x y z (fractional)
Hg1 0.7500 0.7839 0.2161
I1 0.6894 0.8044 0.9458
I2 0.3106 0.1956 0.0542
Cu1 0.6887 0.2492 0.3676
Cu2 0.8113 0.6324 0.7508
I3 0.9361 0.3207 0.4228
Hg2 0.2500 0.2161 0.7839
I4 0.1894 0.9458 0.8044
I5 0.0769 0.6035 0.1506
I6 0.4231 0.8494 0.3965
I7 0.9231 0.3965 0.8494
Cu3 0.3113 0.7508 0.6324
I8 0.5769 0.1506 0.6035
K1 0.2500 0.8759 0.1241
Cu4 0.1887 0.3676 0.2492
I9 0.8106 0.0542 0.1956
I10 0.0639 0.6793 0.5772
I11 0.4361 0.4228 0.3207
K2 0.7500 0.1241 0.8759
I12 0.5639 0.5772 0.6793

11.
First-principles (GGA-PBE) data for an optimized crystal structure of K2CuHgI6, as listed in Alexandria.

crystal system = triclinic
volume = 426 Å³ per cell
energy relative to the elements, uncorrected = -666 meV/atom

Cell: 9.6443 9.3019 9.5683 Å, 46.96 48.54 46.95°
Element x y z (fractional)
I1 0.5900 0.1713 0.3198
K1 0.6152 0.5362 0.3441
I2 0.6075 0.0510 0.8654
Hg1 0.8164 0.8160 0.5514
I3 0.1362 0.0466 0.3395
I4 0.0246 0.5812 0.2377
I5 0.0427 0.4610 0.7832
Cu1 0.3160 0.3163 0.0512
K2 0.0169 0.0961 0.7595
I6 0.4960 0.5857 0.7634

12.
First-principles (GGA-PBE) data for an optimized crystal structure of LaCu2HgI, as listed in Alexandria.

crystal system = tetragonal
volume = 146 Å³ per cell
energy relative to the elements, uncorrected = 92 meV/atom

Cell: 4.9363 5.9812 4.9363 Å, 90.00 90.00 90.00°
Element x y z (fractional)
La1 0.0000 0.5000 0.0000
I1 0.5000 0.5000 0.5000
Hg1 0.0000 0.0000 0.0000
Cu1 0.5000 0.0000 0.0000
Cu2 0.0000 0.0000 0.5000

Number 1: spin magnetization 0.0 μB/cell. Number 2: spin magnetization 0.0 μB/cell. Number 3: spin magnetization 0.0 μB/cell. Number 4: spin magnetization 0.0 μB/cell. Number 5: spin magnetization 0.0 μB/cell. Number 6: spin magnetization 0.0 μB/cell. Number 7: spin magnetization 0.0 μB/cell. Number 8: spin magnetization 0.0 μB/cell. Number 9: spin magnetization 0.0 μB/cell. Number 10: spin magnetization 0.0 μB/cell. Number 11: spin magnetization 0.0 μB/cell. Number 12: spin magnetization 0.0 μB/cell.